1.
Entry from Alexandria via LeMat-Bulk: a geometry-optimized Mg2RuPb structure (GGA-PBE).

Lattice parameters (Å, degrees): 4.2276 4.2276 4.2080 90.00 90.00 90.00
Closest atoms and distances in Å follow each position.
Positions (direct):
Mg  0.0000  0.5000  0.0000  4 Pb 2.98, 4 Ru 2.98, 4 Mg 2.99
Mg  0.5000  0.0000  0.0000  4 Pb 2.98, 4 Ru 2.98, 4 Mg 2.99
Ru  0.0000  0.0000  0.5000  8 Mg 2.98, 4 Pb 2.99
Pb  0.5000  0.5000  0.5000  8 Mg 2.98, 4 Ru 2.99

Values from the calculation:
The value obtained for the formation energy is 126 meV per atom. As for the space-group type: No. 123.

***

2.
Entry from Alexandria via LeMat-Bulk: a geometry-optimized MgRu2PbS structure (GGA-PBE).

Lattice parameters (Å, degrees): 5.0723 5.0723 5.2105 90.00 90.00 90.00
Closest atoms and distances in Å follow each position.
Positions (direct):
Mg  0.0000  0.0000  0.0000  4 S 3.59, 8 Ru 3.64
Ru  0.0000  0.5000  0.5000  2 Pb 2.54
Ru  0.5000  0.0000  0.5000  2 Pb 2.54
Pb  0.5000  0.5000  0.5000  4 Ru 2.54, 2 S 2.61
S  0.5000  0.5000  0.0000  2 Pb 2.61

Values from the calculation:
Its raw formation energy is 7.73 eV per formula unit. As for the space-group type: No. 123.

***

3.
Entry from Alexandria via LeMat-Bulk: a geometry-optimized MgSnRuPb2 structure (GGA-PBE).

Lattice parameters (Å, degrees): 5.2344 5.2344 5.0960 90.00 90.00 90.00
Closest atoms and distances in Å follow each position.
Positions (direct):
Mg  0.0000  0.0000  0.0000  2 Ru 2.55
Sn  0.5000  0.5000  0.0000  8 Pb 3.65, 4 Mg 3.70
Ru  0.0000  0.0000  0.5000  2 Mg 2.55, 4 Pb 2.62
Pb  0.0000  0.5000  0.5000  2 Ru 2.62
Pb  0.5000  0.0000  0.5000  2 Ru 2.62

Values from the calculation:
The value obtained for the formation energy is 281 meV per atom. As for the space-group type: No. 123.

***

4.
Entry from Alexandria via LeMat-Bulk: a geometry-optimized MgVRuPb2 structure (GGA-PBE).

Lattice parameters (Å, degrees): 5.3222 5.3222 4.4482 90.00 90.00 90.00
Closest atoms and distances in Å follow each position.
Positions (direct):
Mg  0.0000  0.0000  0.0000  8 Pb 3.47, 4 Ru 3.76
V  0.5000  0.5000  0.5000  2 Ru 2.22
Ru  0.5000  0.5000  0.0000  2 V 2.22
Pb  0.0000  0.5000  0.5000  2 V 2.66
Pb  0.5000  0.0000  0.5000  2 V 2.66

Values from the calculation:
The value obtained for the formation energy is 688 meV per atom. As for the space-group type: No. 123.

***

5.
Entry from Alexandria via LeMat-Bulk: a geometry-optimized YMgRuPb2 structure (GGA-PBE).

Lattice parameters (Å, degrees): 5.3072 5.3072 5.2132 90.00 90.00 90.00
Closest atoms and distances in Å follow each position.
Positions (direct):
Y  0.0000  0.0000  0.0000  2 Ru 2.61
Mg  0.5000  0.5000  0.0000  8 Pb 3.72, 4 Y 3.75
Ru  0.0000  0.0000  0.5000  2 Y 2.61, 4 Pb 2.65
Pb  0.0000  0.5000  0.5000  2 Ru 2.65
Pb  0.5000  0.0000  0.5000  2 Ru 2.65

Values from the calculation:
The value obtained for the formation energy is 92 meV per atom. As for the space-group type: No. 123.

***

6.
Entry from Alexandria via LeMat-Bulk: a geometry-optimized MgPb3S structure (GGA-PBE).

Lattice parameters (Å, degrees): 5.4690 5.4690 5.4690 90.00 90.00 90.00
Closest atoms and distances in Å follow each position.
Positions (direct):
Mg  0.0000  0.0000  0.0000  6 Pb 2.73
Pb  0.0000  0.0000  0.5000  2 Mg 2.73
Pb  0.0000  0.5000  0.0000  2 Mg 2.73
Pb  0.5000  0.0000  0.0000  2 Mg 2.73
S  0.5000  0.5000  0.5000  12 Pb 3.87

Values from the calculation:
The value obtained for the energy above the most stable polymorph in this dataset is 311 meV/atom. Its raw formation energy is 2.46 eV per formula unit. As for the space-group type: No. 221.

***

no.,electronic total energy (eV per atom)
1,-3.9173
2,-4.0503
3,-4.1767
4,-4.7929
5,-4.8586
6,-2.8780